This record from Alexandria describes a relaxed structure of FeRh2Br. The functional is PBEsol.

a b c (Å): 5.1843 5.1843 5.1843
angles (deg): 147.26 130.01 61.05
Element x y z (fractional)
Fe1 0.0000 0.0000 0.0000
Rh1 0.2536 0.7536 0.5000
Rh2 0.5271 0.5271 0.0000
Br1 0.7645 0.2645 0.5000

Properties
Final energy: -24.96 eV for the cell shown
Fermi-level density of states: 1.023 states/eV/atom

---

This record from Alexandria describes a relaxed structure of Be2CuAu. The functional is PBEsol.

a b c (Å): 2.8191 2.8191 5.5956
angles (deg): 90.00 90.00 90.00
Element x y z (fractional)
Be1 0.0000 0.0000 0.0000
Be2 0.5000 0.5000 0.2106
Cu1 0.0000 0.0000 0.4111
Au1 0.5000 0.5000 0.7518

Properties
ΔH_f (0 K): -77 meV per atom
Fermi-level density of states: 0.225 states/eV/atom

---

This record from Alexandria describes a relaxed structure of SmCuTeS. The functional is PBEsol.

a b c (Å): 7.4547 12.4823 7.4733
angles (deg): 90.00 90.00 90.00
Element x y z (fractional)
Sm1 0.2391 0.0682 0.0219
Sm2 0.2391 0.4318 0.5219
Sm3 0.2609 0.5682 0.0219
Sm4 0.2609 0.9318 0.5219
Sm5 0.7391 0.0682 0.4781
Sm6 0.7391 0.4318 0.9781
Sm7 0.7609 0.5682 0.4781
Sm8 0.7609 0.9318 0.9781
Cu1 0.0755 0.2085 0.6665
Cu2 0.0755 0.2915 0.1665
Cu3 0.4245 0.7085 0.6665
Cu4 0.4245 0.7915 0.1665
Cu5 0.5755 0.2085 0.8335
Cu6 0.5755 0.2915 0.3335
Cu7 0.9245 0.7085 0.8335
Cu8 0.9245 0.7915 0.3335
Te1 0.2186 0.6921 0.3895
Te2 0.2186 0.8079 0.8895
Te3 0.2814 0.1921 0.3895
Te4 0.2814 0.3079 0.8895
Te5 0.7186 0.6921 0.1105
Te6 0.7186 0.8079 0.6105
Te7 0.7814 0.1921 0.1105
Te8 0.7814 0.3079 0.6105
S1 0.0016 0.0387 0.7389
S2 0.0016 0.4613 0.2389
S3 0.4984 0.5387 0.7389
S4 0.4984 0.9613 0.2389
S5 0.5016 0.0387 0.7611
S6 0.5016 0.4613 0.2611
S7 0.9984 0.5387 0.7611
S8 0.9984 0.9613 0.2611

Properties
Final energy: -178.02 eV for the cell shown
Fermi-level density of states: 0.045 states/eV/atom